SrOsW2: optimized geometry, PBE-GGA.

```
SrOsW2
1.0
2.8844 0.0000 0.0000
0.0000 4.2245 0.0000
-1.3602 0.0000 6.8159
Sr Os W
1 1 2
Cartesian
0.0000 0.0000 0.0000
0.3094 2.1123 4.6501
-0.6895 0.0000 3.5451
1.2462 2.1123 2.3004
```

Properties
As for the energy relative to the elements: 76.31 kJ per mole of atoms.